The following is a PBE calculation of a relaxed PrSmCoNi crystal, from Alexandria.

Cell lengths 3.9352, 3.9865, 5.8713 Å; angles 90.00, 109.58, 90.00 degrees
Last column: nearest neighbours and their distance in Å.
Atoms (fractional coordinates):
Ni: 0.5666 0.5000 0.1332  2 Co 2.46
Pr: 0.8591 0.5000 0.7182  4 Co 2.93, 3 Ni 3.02-3.24
Co: 0.4362 0.0000 0.8725  2 Ni 2.46
Sm: 0.1381 0.0000 0.2761  4 Ni 2.91, 2 Co 2.98

Total magnetic moment (μB per cell): 0.0
VASP energy (eV per cell): -23.13
Formation enthalpy at 0 K (kJ per mole of atoms): -18.0

***

The following is a PBE calculation of a relaxed PrThCoNi crystal, from Alexandria.

Cell lengths 4.9320, 4.9320, 4.9320 Å; angles 60.00, 60.00, 60.00 degrees
Last column: nearest neighbours and their distance in Å.
Atoms (fractional coordinates):
Th: 0.0000 0.0000 0.0000  4 Co 3.02, 4 Ni 3.02
Co: 0.7500 0.7500 0.7500  4 Th 3.02, 4 Pr 3.02
Pr: 0.5000 0.5000 0.5000  4 Co 3.02, 4 Ni 3.02
Ni: 0.2500 0.2500 0.2500  4 Th 3.02, 4 Pr 3.02

Total magnetic moment (μB per cell): 0.0
VASP energy (eV per cell): -25.51
Formation enthalpy at 0 K (kJ per mole of atoms): -10.1

***

The following is a PBE calculation of a relaxed Pr2UCo3Ni12 crystal, from Alexandria.

Cell lengths 6.3780, 6.3780, 6.3780 Å; angles 82.30, 82.30, 82.30 degrees
Last column: nearest neighbours and their distance in Å.
Atoms (fractional coordinates):
Ni: 0.2005 0.2005 0.7246  5 Ni 2.33-2.53, 1 U 2.36, 1 Co 2.60
U: 0.0000 0.0000 0.0000  6 Ni 2.36
Ni: 0.5887 0.1409 0.5887  3 Ni 2.33-2.51
Co: 0.0000 0.0000 0.5000  10 Ni 2.60-2.83, 2 Pr 2.84
Co: 0.0000 0.5000 0.0000  10 Ni 2.60-2.83, 2 Pr 2.84
Ni: 0.2754 0.7995 0.7995  5 Ni 2.33-2.53, 1 U 2.36, 1 Co 2.60
Ni: 0.1409 0.5887 0.5887  3 Ni 2.33-2.51
Co: 0.5000 0.0000 0.0000  10 Ni 2.60-2.83, 2 Pr 2.84
Ni: 0.7995 0.2754 0.7995  5 Ni 2.33-2.53, 1 U 2.36, 1 Co 2.60
Ni: 0.7246 0.2005 0.2005  5 Ni 2.33-2.53, 1 U 2.36, 1 Co 2.60
Ni: 0.7995 0.7995 0.2754  5 Ni 2.33-2.53, 1 U 2.36, 1 Co 2.60
Ni: 0.8591 0.4113 0.4113  3 Ni 2.33-2.51
Ni: 0.4113 0.8591 0.4113  3 Ni 2.33-2.51
Ni: 0.2005 0.7246 0.2005  5 Ni 2.33-2.53, 1 U 2.36, 1 Co 2.60
Pr: 0.7138 0.7138 0.7138  9 Ni 2.77-2.89, 3 Co 2.84
Ni: 0.5887 0.5887 0.1409  3 Ni 2.33-2.51
Pr: 0.2862 0.2862 0.2862  9 Ni 2.77-2.89, 3 Co 2.84
Ni: 0.4113 0.4113 0.8591  3 Ni 2.33-2.51

Total magnetic moment (μB per cell): 5.1
VASP energy (eV per cell): -109.91
Formation enthalpy at 0 K (kJ per mole of atoms): 8.7

***

The following is a PBE calculation of a relaxed PrYCo6Ni4 crystal, from Alexandria.

Cell lengths 3.9438, 5.0434, 8.5121 Å; angles 90.00, 90.00, 90.00 degrees
Last column: nearest neighbours and their distance in Å.
Atoms (fractional coordinates):
Y: 0.0000 0.0000 0.5000  6 Co 2.84-2.88, 8 Ni 3.13
Ni: 0.5000 0.7533 0.7455  6 Co 2.45-2.50, 2 Ni 2.49-2.55
Co: 0.0000 0.0000 0.1619  2 Co 2.41, 4 Ni 2.46
Co: 0.0000 0.0000 0.8381  2 Co 2.41, 4 Ni 2.46
Co: 0.5000 0.5000 0.5000  4 Co 2.36, 4 Ni 2.45
Ni: 0.5000 0.7533 0.2545  6 Co 2.45-2.50, 2 Ni 2.49-2.55
Co: 0.5000 0.0000 0.0000  4 Co 2.41, 4 Ni 2.50
Ni: 0.5000 0.2467 0.7455  6 Co 2.45-2.50, 2 Ni 2.49-2.55
Ni: 0.5000 0.2467 0.2545  6 Co 2.45-2.50, 2 Ni 2.49-2.55
Pr: 0.0000 0.5000 0.0000  10 Co 2.87-3.20, 8 Ni 3.20
Co: 0.0000 0.5000 0.6531  3 Co 2.36-2.61, 4 Ni 2.48
Co: 0.0000 0.5000 0.3469  3 Co 2.36-2.61, 4 Ni 2.48

Total magnetic moment (μB per cell): 10.0
VASP energy (eV per cell): -78.47
Formation enthalpy at 0 K (kJ per mole of atoms): -11.8

***

The following is a PBE calculation of a relaxed PrYCoNi crystal, from Alexandria.

Cell lengths 4.8615, 4.8615, 4.8615 Å; angles 60.00, 60.00, 60.00 degrees
Last column: nearest neighbours and their distance in Å.
Atoms (fractional coordinates):
Pr: 0.2500 0.2500 0.2500  4 Co 2.98, 4 Ni 2.98
Co: 0.5000 0.5000 0.5000  4 Pr 2.98, 4 Y 2.98
Y: 0.7500 0.7500 0.7500  4 Co 2.98, 4 Ni 2.98
Ni: 0.0000 0.0000 0.0000  4 Y 2.98, 4 Pr 2.98

Total magnetic moment (μB per cell): 0.3
VASP energy (eV per cell): -24.63
Formation enthalpy at 0 K (kJ per mole of atoms): -12.1

***

The following is a PBE calculation of a relaxed Pr2Zn3CoNi12 crystal, from Alexandria.

Cell lengths 9.2327, 9.2327, 9.2327 Å; angles 38.23, 38.23, 38.23 degrees
Last column: nearest neighbours and their distance in Å.
Atoms (fractional coordinates):
Ni: 0.8129 0.4215 0.4215  4 Ni 2.37-2.38, 2 Zn 2.37
Ni: 0.9327 0.3453 0.9327  1 Co 2.31, 4 Ni 2.38-2.50, 1 Zn 2.49
Zn: 0.5000 0.0000 0.0000  6 Ni 2.37-2.49
Ni: 0.0673 0.6547 0.0673  1 Co 2.31, 4 Ni 2.38-2.50, 1 Zn 2.49
Ni: 0.5785 0.1871 0.5785  4 Ni 2.37-2.38, 2 Zn 2.37
Ni: 0.0673 0.0673 0.6547  1 Co 2.31, 4 Ni 2.38-2.50, 1 Zn 2.49
Co: 0.0000 0.0000 0.0000  6 Ni 2.31
Ni: 0.4215 0.8129 0.4215  4 Ni 2.37-2.38, 2 Zn 2.37
Zn: 0.0000 0.5000 0.0000  6 Ni 2.37-2.49
Ni: 0.5785 0.5785 0.1871  4 Ni 2.37-2.38, 2 Zn 2.37
Ni: 0.1871 0.5785 0.5785  4 Ni 2.37-2.38, 2 Zn 2.37
Ni: 0.3453 0.9327 0.9327  1 Co 2.31, 4 Ni 2.38-2.50, 1 Zn 2.49
Pr: 0.6548 0.6548 0.6548  6 Ni 2.94-2.97
Pr: 0.3452 0.3452 0.3452  6 Ni 2.94-2.97
Zn: 0.0000 0.0000 0.5000  6 Ni 2.37-2.49
Ni: 0.4215 0.4215 0.8129  4 Ni 2.37-2.38, 2 Zn 2.37
Ni: 0.6547 0.0673 0.0673  1 Co 2.31, 4 Ni 2.38-2.50, 1 Zn 2.49
Ni: 0.9327 0.9327 0.3453  1 Co 2.31, 4 Ni 2.38-2.50, 1 Zn 2.49

Total magnetic moment (μB per cell): 3.5
VASP energy (eV per cell): -87.33
Formation enthalpy at 0 K (kJ per mole of atoms): 13.6

***

The following is a PBE calculation of a relaxed Pr2ZnCo3Ni12 crystal, from Alexandria.

Cell lengths 6.2847, 6.2847, 6.2847 Å; angles 83.67, 83.67, 83.67 degrees
Last column: nearest neighbours and their distance in Å.
Atoms (fractional coordinates):
Co: 0.5000 0.0000 0.0000  10 Ni 2.52-2.79, 2 Pr 2.73
Ni: 0.2708 0.8010 0.8010  5 Ni 2.31-2.49, 1 Zn 2.33, 1 Co 2.52
Ni: 0.5787 0.5787 0.1515  6 Ni 2.31-2.57
Co: 0.0000 0.5000 0.0000  10 Ni 2.52-2.79, 2 Pr 2.73
Ni: 0.8010 0.2708 0.8010  5 Ni 2.31-2.49, 1 Zn 2.33, 1 Co 2.52
Ni: 0.1515 0.5787 0.5787  6 Ni 2.31-2.57
Ni: 0.1990 0.1990 0.7292  5 Ni 2.31-2.49, 1 Zn 2.33, 1 Co 2.52
Ni: 0.8010 0.8010 0.2708  5 Ni 2.31-2.49, 1 Zn 2.33, 1 Co 2.52
Ni: 0.5787 0.1515 0.5787  6 Ni 2.31-2.57
Ni: 0.8485 0.4213 0.4213  6 Ni 2.31-2.57
Ni: 0.7292 0.1990 0.1990  5 Ni 2.31-2.49, 1 Zn 2.33, 1 Co 2.52
Pr: 0.7284 0.7284 0.7284  3 Co 2.73, 9 Ni 2.82-2.86
Ni: 0.1990 0.7292 0.1990  5 Ni 2.31-2.49, 1 Zn 2.33, 1 Co 2.52
Ni: 0.4213 0.4213 0.8485  6 Ni 2.31-2.57
Zn: 0.0000 0.0000 0.0000  6 Ni 2.33
Co: 0.0000 0.0000 0.5000  10 Ni 2.52-2.79, 2 Pr 2.73
Ni: 0.4213 0.8485 0.4213  6 Ni 2.31-2.57
Pr: 0.2716 0.2716 0.2716  3 Co 2.73, 9 Ni 2.82-2.86

Total magnetic moment (μB per cell): 8.4
VASP energy (eV per cell): -99.20
Formation enthalpy at 0 K (kJ per mole of atoms): 12.5

***

The following is a PBE calculation of a relaxed Pr2ZnCo2Ni5 crystal, from Alexandria.

Cell lengths 3.8432, 8.9045, 8.9045 Å; angles 90.00, 90.00, 90.00 degrees
Last column: nearest neighbours and their distance in Å.
Atoms (fractional coordinates):
Ni: 0.5000 0.0000 0.5000  4 Co 2.36, 4 Ni 2.64
Co: 0.0000 0.6089 0.8911  6 Ni 2.36-2.56, 1 Pr 2.58
Pr: 0.0000 0.3139 0.8139  3 Co 2.58-2.72
Ni: 0.5000 0.2088 0.0558  2 Co 2.56, 3 Ni 2.64-2.72, 2 Zn 2.72
Pr: 0.0000 0.1861 0.3139  3 Co 2.58-2.72
Co: 0.0000 0.3911 0.1089  6 Ni 2.36-2.56, 1 Pr 2.58
Ni: 0.5000 0.5000 0.0000  4 Co 2.36, 4 Ni 2.64
Co: 0.0000 0.8911 0.3911  6 Ni 2.36-2.56, 1 Pr 2.58
Zn: 0.0000 0.5000 0.5000  8 Ni 2.72
Ni: 0.5000 0.5558 0.7088  2 Co 2.56, 3 Ni 2.64-2.72, 2 Zn 2.72
Ni: 0.5000 0.4442 0.2912  2 Co 2.56, 3 Ni 2.64-2.72, 2 Zn 2.72
Ni: 0.5000 0.0558 0.7912  2 Co 2.56, 3 Ni 2.64-2.72, 2 Zn 2.72
Ni: 0.5000 0.2912 0.5558  2 Co 2.56, 3 Ni 2.64-2.72, 2 Zn 2.72
Co: 0.0000 0.1089 0.6089  6 Ni 2.36-2.56, 1 Pr 2.58
Ni: 0.5000 0.9442 0.2088  2 Co 2.56, 3 Ni 2.64-2.72, 2 Zn 2.72
Ni: 0.5000 0.7912 0.9442  2 Co 2.56, 3 Ni 2.64-2.72, 2 Zn 2.72
Zn: 0.0000 0.0000 0.0000  8 Ni 2.72
Pr: 0.0000 0.6861 0.1861  3 Co 2.58-2.72
Ni: 0.5000 0.7088 0.4442  2 Co 2.56, 3 Ni 2.64-2.72, 2 Zn 2.72
Pr: 0.0000 0.8139 0.6861  3 Co 2.58-2.72

Total magnetic moment (μB per cell): 5.4
VASP energy (eV per cell): -108.91
Formation enthalpy at 0 K (kJ per mole of atoms): -4.9

***

The following is a PBE calculation of a relaxed CoNi9Pt2 crystal, from Alexandria.

Cell lengths 3.6189, 3.6189, 10.8146 Å; angles 90.00, 90.00, 90.00 degrees
Last column: nearest neighbours and their distance in Å.
Atoms (fractional coordinates):
Ni: 0.0000 0.5000 0.8434  2 Co 2.48, 8 Ni 2.48-2.59, 2 Pt 2.60
Ni: 0.0000 0.5000 0.5000  8 Ni 2.56-2.60, 4 Pt 2.58
Co: 0.0000 0.0000 0.0000  12 Ni 2.48-2.56
Pt: 0.0000 0.0000 0.3298  12 Ni 2.56-2.60
Ni: 0.5000 0.0000 0.5000  8 Ni 2.56-2.60, 4 Pt 2.58
Ni: 0.5000 0.5000 0.0000  8 Ni 2.48, 4 Co 2.56
Ni: 0.5000 0.0000 0.8434  2 Co 2.48, 8 Ni 2.48-2.59, 2 Pt 2.60
Pt: 0.0000 0.0000 0.6702  12 Ni 2.56-2.60
Ni: 0.5000 0.0000 0.1566  8 Ni 2.48-2.59, 2 Co 2.48, 2 Pt 2.60
Ni: 0.5000 0.5000 0.6726  4 Pt 2.56, 8 Ni 2.59-2.60
Ni: 0.5000 0.5000 0.3274  4 Pt 2.56, 8 Ni 2.59-2.60
Ni: 0.0000 0.5000 0.1566  8 Ni 2.48-2.59, 2 Co 2.48, 2 Pt 2.60

Total magnetic moment (μB per cell): 9.1
VASP energy (eV per cell): -71.73
Formation enthalpy at 0 K (kJ per mole of atoms): -4.1

***

The following is a PBE calculation of a relaxed Co6NiPt12 crystal, from Alexandria.

Cell lengths 6.6649, 7.1886, 7.1886 Å; angles 69.10, 72.00, 108.00 degrees
Last column: nearest neighbours and their distance in Å.
Atoms (fractional coordinates):
Co: 0.6305 0.2122 0.3200  9 Pt 2.63-2.80, 3 Co 2.69-2.71
Pt: 0.8898 0.6279 0.9460  5 Co 2.67-2.75, 6 Pt 2.68-2.78, 1 Ni 2.75
Ni: 0.0000 0.0000 0.0000  12 Pt 2.74-2.75
Co: 0.9505 0.3200 0.4677  9 Pt 2.63-2.80, 3 Co 2.69-2.71
Pt: 0.5241 0.8452 0.2694  4 Co 2.63-2.80, 7 Pt 2.68-2.78, 1 Ni 2.74
Co: 0.4182 0.4677 0.2122  9 Pt 2.63-2.80, 3 Co 2.69-2.71
Pt: 0.3211 0.1146 0.1548  4 Co 2.63-2.80, 7 Pt 2.68-2.78, 1 Ni 2.74
Pt: 0.1642 0.0540 0.5739  5 Co 2.67-2.75, 6 Pt 2.68-2.78, 1 Ni 2.75
Pt: 0.4759 0.1548 0.7306  4 Co 2.63-2.80, 7 Pt 2.68-2.78, 1 Ni 2.74
Pt: 0.6789 0.8854 0.8452  4 Co 2.63-2.80, 7 Pt 2.68-2.78, 1 Ni 2.74
Co: 0.5818 0.5323 0.7878  9 Pt 2.63-2.80, 3 Co 2.69-2.71
Co: 0.0495 0.6800 0.5323  9 Pt 2.63-2.80, 3 Co 2.69-2.71
Pt: 0.7934 0.2694 0.8854  4 Co 2.63-2.80, 7 Pt 2.68-2.78, 1 Ni 2.74
Pt: 0.2619 0.4261 0.6279  5 Co 2.67-2.75, 6 Pt 2.68-2.78, 1 Ni 2.75
Pt: 0.2066 0.7306 0.1146  4 Co 2.63-2.80, 7 Pt 2.68-2.78, 1 Ni 2.74
Co: 0.3695 0.7878 0.6800  9 Pt 2.63-2.80, 3 Co 2.69-2.71
Pt: 0.8358 0.9460 0.4261  5 Co 2.67-2.75, 6 Pt 2.68-2.78, 1 Ni 2.75
Pt: 0.7381 0.5739 0.3721  5 Co 2.67-2.75, 6 Pt 2.68-2.78, 1 Ni 2.75
Pt: 0.1102 0.3721 0.0540  5 Co 2.67-2.75, 6 Pt 2.68-2.78, 1 Ni 2.75

Total magnetic moment (μB per cell): 16.1
VASP energy (eV per cell): -122.42
Formation enthalpy at 0 K (kJ per mole of atoms): -7.7

***

The following is a PBE calculation of a relaxed Co4Ni12Pt crystal, from Alexandria.

Cell lengths 6.4483, 6.4483, 6.4483 Å; angles 109.47, 109.47, 109.47 degrees
Last column: nearest neighbours and their distance in Å.
Atoms (fractional coordinates):
Ni: 0.5000 0.2500 0.7500  4 Ni 2.32
Ni: 0.2500 0.7500 0.5000  4 Ni 2.32
Co: 0.5000 0.0000 0.0000  12 Ni 2.63-2.67
Ni: 0.2500 0.5000 0.7500  4 Ni 2.32
Ni: 0.7500 0.5000 0.2500  4 Ni 2.32
Ni: 0.3130 0.0000 0.3130  4 Ni 2.32, 1 Pt 2.33
Pt: 0.0000 0.0000 0.0000  6 Ni 2.33
Ni: 0.7500 0.2500 0.5000  4 Ni 2.32
Ni: 0.0000 0.3130 0.3130  4 Ni 2.32, 1 Pt 2.33
Ni: 0.6870 0.6870 0.0000  4 Ni 2.32, 1 Pt 2.33
Co: 0.0000 0.0000 0.5000  12 Ni 2.63-2.67
Ni: 0.0000 0.6870 0.6870  4 Ni 2.32, 1 Pt 2.33
Ni: 0.3130 0.3130 0.0000  4 Ni 2.32, 1 Pt 2.33
Ni: 0.5000 0.7500 0.2500  4 Ni 2.32
Co: 0.0000 0.5000 0.0000  12 Ni 2.63-2.67
Ni: 0.6870 0.0000 0.6870  4 Ni 2.32, 1 Pt 2.33
Co: 0.5000 0.5000 0.5000  12 Ni 2.63-2.67

Total magnetic moment (μB per cell): 15.5
VASP energy (eV per cell): -98.47
Formation enthalpy at 0 K (kJ per mole of atoms): 30.5

***

The following is a PBE calculation of a relaxed Co3Ni2Pt3 crystal, from Alexandria.

Cell lengths 4.7707, 4.7707, 4.7707 Å; angles 87.03, 87.03, 92.97 degrees
Last column: nearest neighbours and their distance in Å.
Atoms (fractional coordinates):
Ni: 0.7445 0.7445 0.2555  3 Co 2.50, 6 Pt 2.57-2.77
Pt: 0.5000 0.2113 0.2113  4 Co 2.46-2.73, 2 Ni 2.57, 2 Pt 2.66
Pt: 0.7887 0.5000 0.7887  4 Co 2.46-2.73, 2 Ni 2.57, 2 Pt 2.66
Co: 0.3005 0.6995 0.0000  4 Pt 2.46-2.73, 2 Ni 2.50, 2 Co 2.64
Co: 0.6995 0.0000 0.6995  4 Pt 2.46-2.73, 2 Ni 2.50, 2 Co 2.64
Pt: 0.2113 0.7887 0.5000  4 Co 2.46-2.73, 2 Ni 2.57, 2 Pt 2.66
Ni: 0.2555 0.2555 0.7445  3 Co 2.50, 6 Pt 2.57-2.77
Co: 0.0000 0.3005 0.3005  4 Pt 2.46-2.73, 2 Ni 2.50, 2 Co 2.64

Distance to the lowest polymorph of the same formula (meV per atom): 139
Total magnetic moment (μB per cell): 8.3
VASP energy (eV per cell): -50.48
Formation enthalpy at 0 K (kJ per mole of atoms): 6.3

***

Copy entry 11 word for word.
The following is a PBE calculation of a relaxed Co4Ni12Pt crystal, from Alexandria.

Cell lengths 6.4483, 6.4483, 6.4483 Å; angles 109.47, 109.47, 109.47 degrees
Last column: nearest neighbours and their distance in Å.
Atoms (fractional coordinates):
Ni: 0.5000 0.2500 0.7500  4 Ni 2.32
Ni: 0.2500 0.7500 0.5000  4 Ni 2.32
Co: 0.5000 0.0000 0.0000  12 Ni 2.63-2.67
Ni: 0.2500 0.5000 0.7500  4 Ni 2.32
Ni: 0.7500 0.5000 0.2500  4 Ni 2.32
Ni: 0.3130 0.0000 0.3130  4 Ni 2.32, 1 Pt 2.33
Pt: 0.0000 0.0000 0.0000  6 Ni 2.33
Ni: 0.7500 0.2500 0.5000  4 Ni 2.32
Ni: 0.0000 0.3130 0.3130  4 Ni 2.32, 1 Pt 2.33
Ni: 0.6870 0.6870 0.0000  4 Ni 2.32, 1 Pt 2.33
Co: 0.0000 0.0000 0.5000  12 Ni 2.63-2.67
Ni: 0.0000 0.6870 0.6870  4 Ni 2.32, 1 Pt 2.33
Ni: 0.3130 0.3130 0.0000  4 Ni 2.32, 1 Pt 2.33
Ni: 0.5000 0.7500 0.2500  4 Ni 2.32
Co: 0.0000 0.5000 0.0000  12 Ni 2.63-2.67
Ni: 0.6870 0.0000 0.6870  4 Ni 2.32, 1 Pt 2.33
Co: 0.5000 0.5000 0.5000  12 Ni 2.63-2.67

Total magnetic moment (μB per cell): 15.5
VASP energy (eV per cell): -98.47
Formation enthalpy at 0 K (kJ per mole of atoms): 30.5